A relaxed structure of NdHoCu, computed with PBE.

extended XYZ file:
```
3
Lattice="-2.2603 -1.8386 1.9855 -0.1967 -2.4685 -2.5099 6.0219 -0.9008 2.8905" Properties=species:S:1:pos:R:3 pbc="T T T"
Nd 0.2138 -0.1362 0.1172
Ho 2.8757 -1.8325 1.5768
Cu 0.4753 -3.2393 0.6721
```

Summary:
calculated total energy = -4.5902 eV per atom
mass density = 7.95 g/cm3
energy of formation from the pure elements = -0.110 eV/atom
relative energy among the computed polymorphs = 0.023 eV per formula unit
Fermi-level density of states = 0.989 states/eV per atom